# 1
A geometry-optimized InP2Ru structure, computed with PBE-GGA.

The structure in CIF format:
```
data_InP2Ru
_chemical_formula_sum 'In2 P4 Ru2'
_symmetry_space_group_name_H-M 'I 4/m m m'
_symmetry_Int_Tables_number 139
_symmetry_space_group_name_Hall '-I 4 2'
_cell_length_a 4.756
_cell_length_b 4.756
_cell_length_c 5.676
_cell_angle_alpha 90.00
_cell_angle_beta 90.00
_cell_angle_gamma 90.00
loop_
_atom_site_label
_atom_site_fract_x
_atom_site_fract_y
_atom_site_fract_z
In1 0.000 0.000 0.000
P1 0.000 0.500 0.250
Ru1 0.000 0.000 0.500
```

Results
Total energy, eV for the cell shown: -43.084



# 2
A geometry-optimized InP2Ru structure, computed with PBE-GGA.

The structure in CIF format:
```
data_InP2Ru
_chemical_formula_sum 'In3 P6 Ru3'
_symmetry_space_group_name_H-M 'R 3 m'
_symmetry_Int_Tables_number 160
_symmetry_space_group_name_Hall 'R 3 -2"'
_cell_length_a 3.2380
_cell_length_b 3.2380
_cell_length_c 21.6139
_cell_angle_alpha 90.00
_cell_angle_beta 90.00
_cell_angle_gamma 120.00
loop_
_atom_site_label
_atom_site_fract_x
_atom_site_fract_y
_atom_site_fract_z
In1 0.0000 0.0000 0.0000
P1 0.0000 0.0000 0.4964
P2 0.0000 0.0000 0.7675
Ru1 0.0000 0.0000 0.2358
```

Results
Total energy, eV for the cell shown: -67.383



# 3
A geometry-optimized InPRu structure, computed with PBE-GGA.

The structure in CIF format:
```
data_InPRu
_chemical_formula_sum 'In1 P1 Ru1'
_symmetry_space_group_name_H-M 'P 3 m 1'
_symmetry_Int_Tables_number 156
_cell_length_a 3.2708
_cell_length_b 3.2708
_cell_length_c 5.9771
_cell_angle_alpha 90.00
_cell_angle_beta 90.00
_cell_angle_gamma 120.00
loop_
_symmetry_equiv_pos_as_xyz
'x,y,z'
'-y,x-y,z'
'-x+y,-x,z'
'-y,-x,z'
'-x+y,y,z'
'x,x-y,z'
loop_
_atom_site_label
_atom_site_fract_x
_atom_site_fract_y
_atom_site_fract_z
In1 0.0000 0.0000 0.0000
P1 0.0000 0.0000 0.5674
Ru1 0.3333 0.6667 0.3491
```

Results
Total energy, eV for the cell shown: -18.226



# 4
A geometry-optimized In2PRu structure, computed with PBE-GGA.

The structure in CIF format:
```
data_In2PRu
_chemical_formula_sum 'In8 P4 Ru4'
_symmetry_space_group_name_H-M 'I -4 2 d'
_symmetry_Int_Tables_number 122
_symmetry_space_group_name_Hall 'I -4 2bw'
_cell_length_a 7.435
_cell_length_b 7.435
_cell_length_c 5.686
_cell_angle_alpha 90.00
_cell_angle_beta 90.00
_cell_angle_gamma 90.00
loop_
_atom_site_label
_atom_site_fract_x
_atom_site_fract_y
_atom_site_fract_z
In1 0.237 0.250 0.125
P1 0.000 0.000 0.000
Ru1 0.000 0.000 0.500
```

Results
Total energy, eV for the cell shown: -72.642



# 5
A geometry-optimized InPRu2 structure, computed with PBE-GGA.

The structure in CIF format:
```
data_InPRu2
_chemical_formula_sum 'In1 P1 Ru2'
_symmetry_space_group_name_H-M 'P 4 m m'
_symmetry_Int_Tables_number 99
_cell_length_a 3.214
_cell_length_b 3.214
_cell_length_c 6.251
_cell_angle_alpha 90.00
_cell_angle_beta 90.00
_cell_angle_gamma 90.00
loop_
_symmetry_equiv_pos_as_xyz
'x,y,z'
'-y,x,z'
'-x,-y,z'
'y,-x,z'
'-x,y,z'
'y,x,z'
'x,-y,z'
'-y,-x,z'
loop_
_atom_site_label
_atom_site_fract_x
_atom_site_fract_y
_atom_site_fract_z
In1 0.000 0.000 0.000
P1 0.500 0.500 0.352
Ru1 0.000 0.000 0.462
Ru2 0.500 0.500 0.739
```

Results
Total energy, eV for the cell shown: -26.650



# 6
A geometry-optimized InP2RuS structure, computed with PBE-GGA.

The structure in CIF format:
```
data_InP2RuS
_chemical_formula_sum 'In1 P2 Ru1 S1'
_symmetry_space_group_name_H-M 'P 4/m m m'
_symmetry_Int_Tables_number 123
_symmetry_space_group_name_Hall '-P 4 2'
_cell_length_a 4.961
_cell_length_b 4.961
_cell_length_c 4.922
_cell_angle_alpha 90.00
_cell_angle_beta 90.00
_cell_angle_gamma 90.00
loop_
_atom_site_label
_atom_site_fract_x
_atom_site_fract_y
_atom_site_fract_z
In1 0.000 0.000 0.000
P1 0.000 0.500 0.000
Ru1 0.500 0.500 0.500
S1 0.000 0.000 0.500
```

Results
Relative energy among the computed polymorphs, meV/atom: 1296



# 7
A geometry-optimized InP2RuS structure, computed with PBE-GGA.

The structure in CIF format:
```
data_InP2RuS
_chemical_formula_sum 'In1 P2 Ru1 S1'
_symmetry_space_group_name_H-M 'P 4/m m m'
_symmetry_Int_Tables_number 123
_symmetry_space_group_name_Hall '-P 4 2'
_cell_length_a 4.500
_cell_length_b 4.500
_cell_length_c 5.472
_cell_angle_alpha 90.00
_cell_angle_beta 90.00
_cell_angle_gamma 90.00
loop_
_atom_site_label
_atom_site_fract_x
_atom_site_fract_y
_atom_site_fract_z
In1 0.000 0.000 0.000
P1 0.000 0.500 0.500
Ru1 0.500 0.500 0.500
S1 0.500 0.500 0.000
```

Results
Relative energy among the computed polymorphs, meV/atom: 0



# 8
A geometry-optimized InTcP2Ru structure, computed with PBE-GGA.

The structure in CIF format:
```
data_InTcP2Ru
_chemical_formula_sum 'In1 Tc1 P2 Ru1'
_symmetry_space_group_name_H-M 'P 4/m m m'
_symmetry_Int_Tables_number 123
_symmetry_space_group_name_Hall '-P 4 2'
_cell_length_a 4.512
_cell_length_b 4.512
_cell_length_c 4.975
_cell_angle_alpha 90.00
_cell_angle_beta 90.00
_cell_angle_gamma 90.00
loop_
_atom_site_label
_atom_site_fract_x
_atom_site_fract_y
_atom_site_fract_z
In1 0.000 0.000 0.000
Tc1 0.500 0.500 0.500
P1 0.000 0.500 0.500
Ru1 0.500 0.500 0.000
```

Results
Total energy, eV for the cell shown: -29.654



What did the sixth record say?
A geometry-optimized InP2RuS structure, computed with PBE-GGA.

The structure in CIF format:
```
data_InP2RuS
_chemical_formula_sum 'In1 P2 Ru1 S1'
_symmetry_space_group_name_H-M 'P 4/m m m'
_symmetry_Int_Tables_number 123
_symmetry_space_group_name_Hall '-P 4 2'
_cell_length_a 4.961
_cell_length_b 4.961
_cell_length_c 4.922
_cell_angle_alpha 90.00
_cell_angle_beta 90.00
_cell_angle_gamma 90.00
loop_
_atom_site_label
_atom_site_fract_x
_atom_site_fract_y
_atom_site_fract_z
In1 0.000 0.000 0.000
P1 0.000 0.500 0.000
Ru1 0.500 0.500 0.500
S1 0.000 0.000 0.500
```

Results
Relative energy among the computed polymorphs, meV/atom: 1296